No. 1
The following is a PBE calculation of crystalline Sr2GaRh at its relaxed geometry, from Alexandria via LeMat-Bulk.

Results
N(E_F), states/eV/atom: 0.60
DFT formation energy, eV per atom: -0.495
M_tot, μB/atom: 0.0000

Cell: 7.5355 4.3363 8.4374 Å, 90.00 107.05 90.00°
Closest atoms and distances in Å follow each position.
Space group Cm (No. 8)
One atom of each set of equivalent atoms:
Sr  0.0000  0.0000  0.0000  3 Rh 3.26-3.27, 3 Ga 3.27-3.28
Sr  0.1708  0.0000  0.5214  3 Ga 3.27, 3 Rh 3.27-3.29
Ga  0.2523  0.5000  0.2607  3 Rh 2.51
Rh  0.4190  0.0000  0.2597  3 Ga 2.51

---

No. 2
The following is a PBE calculation of crystalline Al2GaPd at its relaxed geometry, from Alexandria via LeMat-Bulk.

Results
N(E_F), states/eV/atom: 0.29
DFT formation energy, eV per atom: -0.302
M_tot, μB/atom: 0.0000

Cell: 4.0189 4.0189 3.8675 Å, 90.00 90.00 90.00°
Closest atoms and distances in Å follow each position.
Space group P4/mmm (No. 123)
One atom of each set of equivalent atoms:
Al  0.0000  0.5000  0.0000  4 Pd 2.79, 4 Ga 2.79, 4 Al 2.84
Ga  0.0000  0.0000  0.5000  8 Al 2.79, 4 Pd 2.84
Pd  0.5000  0.5000  0.5000  8 Al 2.79, 4 Ga 2.84

---

No. 3
The following is a PBE calculation of crystalline GdSn4Hg at its relaxed geometry, from Alexandria via LeMat-Bulk.

Results
N(E_F), states/eV/atom: 0.77
DFT formation energy, eV per atom: -0.168
M_tot, μB/atom: 1.1715

Cell: 8.7330 8.7330 8.7330 Å, 90.00 90.00 90.00°
Closest atoms and distances in Å follow each position.
Space group F-43m (No. 216)
One atom of each set of equivalent atoms:
Gd  0.0000  0.0000  0.0000  12 Sn 3.62, 4 Hg 3.78
Sn  0.1251  0.1251  0.3749  6 Sn 3.09
Hg  0.2500  0.2500  0.7500  12 Sn 3.62, 4 Gd 3.78

---

No. 4
The following is a PBE calculation of crystalline Cr2SbBr at its relaxed geometry, from Alexandria via LeMat-Bulk.

Results
N(E_F), states/eV/atom: 0.81
Formation energy from raw total energies, eV/f.u.: 0.95
M_tot, μB/atom: 0.1417

Cell: 3.2377 3.2377 30.2789 Å, 90.00 90.00 120.00°
Closest atoms and distances in Å follow each position.
Space group R3m (No. 160, hexagonal axes)
One atom of each set of equivalent atoms:
Cr  0.0000  0.0000  0.0000  3 Cr 2.58, 3 Br 2.60
Cr  0.0000  0.0000  0.2746  3 Cr 2.58, 3 Sb 2.85
Sb  0.0000  0.0000  0.5371  3 Cr 2.85
Br  0.0000  0.0000  0.7263  3 Cr 2.60

---

No. 5
The following is a PBE calculation of crystalline TlGaGeAu2 at its relaxed geometry, from Alexandria via LeMat-Bulk.

Results
N(E_F), states/eV/atom: 0.31
DFT formation energy, eV per atom: -0.047
M_tot, μB/atom: 0.0000

Cell: 14.2519 4.3554 9.8562 Å, 90.00 130.60 90.00°
Closest atoms and distances in Å follow each position.
Space group C2/m (No. 12)
One atom of each set of equivalent atoms:
Tl  0.0342  0.0000  0.1842  5 Au 3.02-3.30, 1 Tl 3.09
Ga  0.2358  0.0000  0.8647  4 Au 2.63-2.69
Ge  0.1283  0.5000  0.5407  5 Au 2.63-2.91
Au  0.0969  0.5000  0.7831  3 Ga 2.64-2.69, 2 Ge 2.67-2.70
Au  0.2408  0.5000  0.3786  1 Ga 2.63, 3 Ge 2.63-2.91

---

No. 6
The following is a PBE calculation of crystalline TaHS2Cl at its relaxed geometry, from Alexandria via LeMat-Bulk.

Results
N(E_F), states/eV/atom: 0.38
M_tot, μB/atom: 0.2046

Cell: 4.7476 4.7476 4.9702 Å, 90.00 90.00 90.00°
Closest atoms and distances in Å follow each position.
Space group P4/mmm (No. 123)
One atom of each set of equivalent atoms:
Ta  0.0000  0.0000  0.0000  4 S 2.37, 2 Cl 2.49
H  0.5000  0.5000  0.5000  4 Cl 3.36, 8 S 3.44
S  0.0000  0.5000  0.0000  2 Ta 2.37
Cl  0.0000  0.0000  0.5000  2 Ta 2.49

---

No. 7
The following is a PBE calculation of crystalline Nb2IBr at its relaxed geometry, from Alexandria via LeMat-Bulk.

Results
N(E_F), states/eV/atom: 1.25
Formation energy from raw total energies, eV/f.u.: 2.50
M_tot, μB/atom: 0.0000

Cell: 6.7820 6.7820 6.7820 Å, 90.00 90.00 90.00°
Closest atoms and distances in Å follow each position.
Space group Fm-3m (No. 225)
One atom of each set of equivalent atoms:
Nb  0.2500  0.2500  0.2500  4 Br 2.94, 4 I 2.94
I  0.0000  0.0000  0.0000  8 Nb 2.94
Br  0.0000  0.0000  0.5000  8 Nb 2.94

---

No. 8
The following is a PBE calculation of crystalline Nd2ThTl at its relaxed geometry, from Alexandria via LeMat-Bulk.

Results
N(E_F), states/eV/atom: 1.42
DFT formation energy, eV per atom: 0.081
M_tot, μB/atom: 0.0000

Cell: 3.6202 3.6202 36.8020 Å, 90.00 90.00 120.00°
Closest atoms and distances in Å follow each position.
Space group R-3m (No. 166, hexagonal axes)
One atom of each set of equivalent atoms:
Nd  0.0000  0.0000  0.0895  1 Tl 3.29, 3 Th 3.53, 6 Nd 3.62
Th  0.0000  0.0000  0.5000  6 Nd 3.53, 6 Th 3.62
Tl  0.0000  0.0000  0.0000  2 Nd 3.29, 6 Tl 3.62

---

No. 9
The following is a PBE calculation of crystalline HgSb3Pd at its relaxed geometry, from Alexandria via LeMat-Bulk.

Results
N(E_F), states/eV/atom: 1.44
Formation energy from raw total energies, eV/f.u.: 1.71
M_tot, μB/atom: 0.0000

Cell: 5.2791 5.2791 5.2791 Å, 90.00 90.00 90.00°
Closest atoms and distances in Å follow each position.
Space group Pm-3m (No. 221)
One atom of each set of equivalent atoms:
Hg  0.0000  0.0000  0.0000  12 Sb 3.73
Sb  0.0000  0.5000  0.5000  2 Pd 2.64
Pd  0.5000  0.5000  0.5000  6 Sb 2.64

---

No. 10
The following is a PBE calculation of crystalline LiIn5Hg6 at its relaxed geometry, from Alexandria via LeMat-Bulk.

Results
N(E_F), states/eV/atom: 0.35
DFT formation energy, eV per atom: -0.050
M_tot, μB/atom: 0.0000

Cell: 5.6228 14.3353 7.8068 Å, 90.00 101.78 90.00°
Closest atoms and distances in Å follow each position.
Space group C2/m (No. 12)
One atom of each set of equivalent atoms:
Li  0.0000  0.0000  0.0000  6 Hg 2.89-3.02
In  0.0000  0.0000  0.5000  8 Hg 3.16-3.44
In  0.0000  0.3160  0.5000  6 Hg 3.11-3.16, 2 In 3.39
In  0.0000  0.3505  0.0000  6 Hg 3.05-3.21
Hg  0.0128  0.1617  0.2224  1 Li 2.89, 5 In 3.05-3.21
Hg  0.0344  0.5000  0.7261  1 Li 3.02, 5 In 3.06-3.16

---

No. 11
The following is a PBE calculation of crystalline Fe2NiAs at its relaxed geometry, from Alexandria via LeMat-Bulk.

Results
N(E_F), states/eV/atom: 0.86
DFT formation energy, eV per atom: 0.132
M_tot, μB/atom: 1.1300

Cell: 2.8533 2.8533 5.9712 Å, 90.00 90.00 90.00°
Closest atoms and distances in Å follow each position.
Space group P4/mmm (No. 123)
One atom of each set of equivalent atoms:
Fe  0.0000  0.0000  0.2455  4 As 2.49, 4 Ni 2.53
Ni  0.5000  0.5000  0.5000  8 Fe 2.53
As  0.5000  0.5000  0.0000  8 Fe 2.49

---

No. 12
The following is a PBE calculation of crystalline La2PuTlN at its relaxed geometry, from Alexandria via LeMat-Bulk.

Results
N(E_F), states/eV/atom: 1.59
Formation energy from raw total energies, eV/f.u.: -3.57
M_tot, μB/atom: 1.1625

Cell: 5.2063 5.2063 4.7339 Å, 90.00 90.00 90.00°
Closest atoms and distances in Å follow each position.
Space group P4/mmm (No. 123)
One atom of each set of equivalent atoms:
La  0.0000  0.5000  0.0000  2 N 2.60
Pu  0.0000  0.0000  0.5000  2 N 2.37
Tl  0.5000  0.5000  0.5000  8 La 3.52, 4 Pu 3.68
N  0.0000  0.0000  0.0000  2 Pu 2.37, 4 La 2.60

---

Taking the records one at a time from the top gives total DFT energy (no corrections) values of -3.930; -4.228; -5.234; -6.022; -3.360; -5.168; -5.215; -4.749; -3.231; -1.502; -6.707; -7.689 eV per atom.